Entry from the Alexandria database: a relaxed structure of MnCoNi6 (GGA-PBEsol).

The total magnetic moment is 1.093 μB/atom. Its total energy is -437.026 eV per cell. For the formation energy, the calculation gives -2.23 kJ per mole of atoms. As for the density of states at the Fermi level: 78.61 states/eV per cell.

The space group is Cmmm (No. 65) and the conventional cell measures 6.970, 9.869 and 9.868 Å, with angles of 90.00, 90.00 and 90.00 degrees. The asymmetric unit holds Mn at (0.000, 0.000, 0.250), Mn at (0.000, 0.248, 0.000), Co at (0.000, 0.247, 0.500), Co at (0.000, 0.500, 0.251), Ni at (0.000, 0.000, 0.000), Ni at (0.000, 0.000, 0.500), Ni at (0.000, 0.252, 0.253), Ni at (0.000, 0.500, 0.000), Ni at (0.000, 0.500, 0.500), Ni at (0.247, 0.374, 0.376) and Ni at (0.247, 0.376, 0.127).